1.
# Ca3TbCe2Se6 PBE optimized geometry
# Crystal system ... monoclinic
# E ... -5.483 eV/atom
# Raw formation energy ... -2160 kJ/mol of formula units
data_Ca3TbCe2Se6
_chemical_formula_sum 'Ca6 Tb2 Ce4 Se12'
_symmetry_space_group_name_H-M 'C 1 2/m 1'
_symmetry_Int_Tables_number 12
_cell_length_a 7.217
_cell_length_b 12.491
_cell_length_c 7.348
_cell_angle_alpha 90.00
_cell_angle_beta 109.10
_cell_angle_gamma 90.00
loop_
_symmetry_equiv_pos_as_xyz
'x,y,z'
'-x,-y,-z'
'-x,y,-z'
'x,-y,z'
'x+1/2,y+1/2,z'
'-x+1/2,-y+1/2,-z'
'-x+1/2,y+1/2,-z'
'x+1/2,-y+1/2,z'
loop_
_atom_site_label
_atom_site_fract_x
_atom_site_fract_y
_atom_site_fract_z
Ca1 0.000 0.000 0.000
Ca2 0.000 0.333 0.000
Tb1 0.000 0.500 0.500
Ce1 0.000 0.166 0.500
Se1 0.243 0.500 0.247
Se2 0.248 0.336 0.753

***

2.
# BaBeOs4 PBE optimized geometry
# Crystal system ... cubic
# E_form ... 1.065 eV/atom
# E ... -7.363 eV/atom
data_BaBeOs4
_chemical_formula_sum 'Ba4 Be4 Os16'
_symmetry_space_group_name_H-M 'F -4 3 m'
_symmetry_Int_Tables_number 216
_symmetry_space_group_name_Hall 'F -4 2 3'
_cell_length_a 7.609
_cell_length_b 7.609
_cell_length_c 7.609
_cell_angle_alpha 90.00
_cell_angle_beta 90.00
_cell_angle_gamma 90.00
loop_
_atom_site_label
_atom_site_fract_x
_atom_site_fract_y
_atom_site_fract_z
Ba1 0.000 0.000 0.000
Be1 0.250 0.250 0.750
Os1 0.124 0.124 0.376

***

3.
# NdGdAl4 PBE optimized geometry
# Crystal system ... cubic
# E_form ... -0.510 eV/atom
# E ... -6.147 eV/atom
data_NdGdAl4
_chemical_formula_sum 'Nd4 Gd4 Al16'
_symmetry_space_group_name_H-M 'F -4 3 m'
_symmetry_Int_Tables_number 216
_symmetry_space_group_name_Hall 'F -4 2 3'
_cell_length_a 7.978
_cell_length_b 7.978
_cell_length_c 7.978
_cell_angle_alpha 90.00
_cell_angle_beta 90.00
_cell_angle_gamma 90.00
loop_
_atom_site_label
_atom_site_fract_x
_atom_site_fract_y
_atom_site_fract_z
Nd1 0.000 0.000 0.000
Gd1 0.250 0.250 0.750
Al1 0.125 0.125 0.375

***

4.
# Eu3TlO PBE optimized geometry
# Crystal system ... cubic
# E ... -8.945 eV/atom
# Raw formation energy ... -635 kJ/mol of formula units
data_Eu3TlO
_chemical_formula_sum 'Eu3 Tl1 O1'
_symmetry_space_group_name_H-M 'P m -3 m'
_symmetry_Int_Tables_number 221
_symmetry_space_group_name_Hall '-P 4 2 3'
_cell_length_a 5.075
_cell_length_b 5.075
_cell_length_c 5.075
_cell_angle_alpha 90.00
_cell_angle_beta 90.00
_cell_angle_gamma 90.00
loop_
_atom_site_label
_atom_site_fract_x
_atom_site_fract_y
_atom_site_fract_z
Eu1 0.000 0.000 0.500
Tl1 0.500 0.500 0.500
O1 0.000 0.000 0.000

***

5.
# HoNpPd14 PBE optimized geometry
# Crystal system ... tetragonal
# E_form ... -0.342 eV/atom
# E ... -5.981 eV/atom
data_HoNpPd14
_chemical_formula_sum 'Ho1 Np1 Pd14'
_symmetry_space_group_name_H-M 'P 4/m m m'
_symmetry_Int_Tables_number 123
_symmetry_space_group_name_Hall '-P 4 2'
_cell_length_a 5.793
_cell_length_b 5.793
_cell_length_c 7.844
_cell_angle_alpha 90.00
_cell_angle_beta 90.00
_cell_angle_gamma 90.00
loop_
_atom_site_label
_atom_site_fract_x
_atom_site_fract_y
_atom_site_fract_z
Ho1 0.000 0.000 0.000
Np1 0.500 0.500 0.000
Pd1 0.000 0.000 0.500
Pd2 0.000 0.500 0.000
Pd3 0.000 0.500 0.500
Pd4 0.252 0.252 0.255
Pd5 0.500 0.500 0.500

***

6.
# SnBRh2C PBE optimized geometry
# Crystal system ... tetragonal
# E_form ... 0.357 eV/atom
# E ... -6.565 eV/atom
data_SnBRh2C
_chemical_formula_sum 'Sn1 B1 Rh2 C1'
_symmetry_space_group_name_H-M 'P 4/m m m'
_symmetry_Int_Tables_number 123
_symmetry_space_group_name_Hall '-P 4 2'
_cell_length_a 4.649
_cell_length_b 4.649
_cell_length_c 2.995
_cell_angle_alpha 90.00
_cell_angle_beta 90.00
_cell_angle_gamma 90.00
loop_
_atom_site_label
_atom_site_fract_x
_atom_site_fract_y
_atom_site_fract_z
Sn1 0.000 0.000 0.000
B1 0.500 0.500 0.500
Rh1 0.000 0.500 0.500
C1 0.500 0.500 0.000

***

7.
# Li5Al PBE optimized geometry
# Crystal system ... monoclinic
# Energy above the lowest structure with this stoichiometry ... 0.105 kcal/mol of atoms
# E_form ... -0.062 eV/atom
# E ... -2.281 eV/atom
data_Li5Al
_chemical_formula_sum 'Li10 Al2'
_symmetry_space_group_name_H-M 'C 1 2/m 1'
_symmetry_Int_Tables_number 12
_cell_length_a 9.648
_cell_length_b 3.973
_cell_length_c 5.920
_cell_angle_alpha 90.00
_cell_angle_beta 110.59
_cell_angle_gamma 90.00
loop_
_symmetry_equiv_pos_as_xyz
'x,y,z'
'-x,-y,-z'
'-x,y,-z'
'x,-y,z'
'x+1/2,y+1/2,z'
'-x+1/2,-y+1/2,-z'
'-x+1/2,y+1/2,-z'
'x+1/2,-y+1/2,z'
loop_
_atom_site_label
_atom_site_fract_x
_atom_site_fract_y
_atom_site_fract_z
Li1 0.000 0.000 0.000
Li2 0.161 0.500 0.822
Li3 0.169 0.500 0.349
Al1 0.000 0.000 0.500

***

8.
# La8Tb2Er3 PBE optimized geometry
# Crystal system ... monoclinic
# Energy above the lowest structure with this stoichiometry ... 0.000 kcal/mol of atoms
# E_form ... 0.141 eV/atom
# E ... -4.657 eV/atom
data_La8Tb2Er3
_chemical_formula_sum 'La16 Tb4 Er6'
_symmetry_space_group_name_H-M 'C 1 2/m 1'
_symmetry_Int_Tables_number 12
_cell_length_a 13.651
_cell_length_b 11.818
_cell_length_c 6.155
_cell_angle_alpha 90.00
_cell_angle_beta 112.98
_cell_angle_gamma 90.00
loop_
_symmetry_equiv_pos_as_xyz
'x,y,z'
'-x,-y,-z'
'-x,y,-z'
'x,-y,z'
'x+1/2,y+1/2,z'
'-x+1/2,-y+1/2,-z'
'-x+1/2,y+1/2,-z'
'x+1/2,-y+1/2,z'
loop_
_atom_site_label
_atom_site_fract_x
_atom_site_fract_y
_atom_site_fract_z
La1 0.085 0.000 0.238
La2 0.138 0.500 0.616
La3 0.161 0.262 0.148
Tb1 0.186 0.000 0.820
Er1 0.000 0.228 0.500
Er2 0.000 0.500 0.000

***

> What is the formula in the sixth record?

SnBRh2C

***

Copy entry 3 word for word.
# NdGdAl4 PBE optimized geometry
# Crystal system ... cubic
# E_form ... -0.510 eV/atom
# E ... -6.147 eV/atom
data_NdGdAl4
_chemical_formula_sum 'Nd4 Gd4 Al16'
_symmetry_space_group_name_H-M 'F -4 3 m'
_symmetry_Int_Tables_number 216
_symmetry_space_group_name_Hall 'F -4 2 3'
_cell_length_a 7.978
_cell_length_b 7.978
_cell_length_c 7.978
_cell_angle_alpha 90.00
_cell_angle_beta 90.00
_cell_angle_gamma 90.00
loop_
_atom_site_label
_atom_site_fract_x
_atom_site_fract_y
_atom_site_fract_z
Nd1 0.000 0.000 0.000
Gd1 0.250 0.250 0.750
Al1 0.125 0.125 0.375

***

Please write out number 1 again, unchanged.
# Ca3TbCe2Se6 PBE optimized geometry
# Crystal system ... monoclinic
# E ... -5.483 eV/atom
# Raw formation energy ... -2160 kJ/mol of formula units
data_Ca3TbCe2Se6
_chemical_formula_sum 'Ca6 Tb2 Ce4 Se12'
_symmetry_space_group_name_H-M 'C 1 2/m 1'
_symmetry_Int_Tables_number 12
_cell_length_a 7.217
_cell_length_b 12.491
_cell_length_c 7.348
_cell_angle_alpha 90.00
_cell_angle_beta 109.10
_cell_angle_gamma 90.00
loop_
_symmetry_equiv_pos_as_xyz
'x,y,z'
'-x,-y,-z'
'-x,y,-z'
'x,-y,z'
'x+1/2,y+1/2,z'
'-x+1/2,-y+1/2,-z'
'-x+1/2,y+1/2,-z'
'x+1/2,-y+1/2,z'
loop_
_atom_site_label
_atom_site_fract_x
_atom_site_fract_y
_atom_site_fract_z
Ca1 0.000 0.000 0.000
Ca2 0.000 0.333 0.000
Tb1 0.000 0.500 0.500
Ce1 0.000 0.166 0.500
Se1 0.243 0.500 0.247
Se2 0.248 0.336 0.753

***

> The lowest E belongs to which entry?

Eu3TlO